DFT (PBE) results for crystalline BaLi2Hg2Bi at its relaxed geometry.

a b c (Å): 5.278 5.278 6.864
angles (deg): 90.00 90.00 90.00
Fractional positions:
Ba 0.000 0.000 0.000
Li 0.000 0.500 0.500
Li 0.500 0.000 0.500
Hg 0.500 0.500 0.239
Hg 0.500 0.500 0.761
Bi 0.000 0.000 0.500

SG: P4/mmm (123)
Mass density, g/cm3: 6.61
E_tot, eV/atom: -2.07
M_tot, μB/cell: 0.0